[1]
# Cs2YHfCd

A relaxed Cs2YHfCd crystal (PBEsol, Alexandria via LeMat-Bulk).

a = 5.2829 Å, b = 6.7617 Å, c = 6.7617 Å
α = 90.00°, β = 90.00°, γ = 90.00°
With the nearest neighbours (Å) after each atom.
Positions (direct):
Cd  0.5000  0.5000  0.5000  8 Cs 4.29, 4 Hf 4.78
Cs  0.0000  0.5000  0.0000  2 Y 3.38
Cs  0.0000  0.0000  0.5000  2 Y 3.38
Y  0.0000  0.0000  0.0000  2 Hf 2.64
Hf  0.5000  0.0000  0.0000  2 Y 2.64

Properties
symmetry: No. 123
DFT formation energy: 1.28 eV per atom

***

[2]
# CsCd3Hg

A relaxed CsCd3Hg crystal (PBEsol, Alexandria via LeMat-Bulk).

a = 5.5136 Å, b = 5.5136 Å, c = 5.5136 Å
α = 90.00°, β = 90.00°, γ = 90.00°
With the nearest neighbours (Å) after each atom.
Positions (direct):
Hg  0.0000  0.0000  0.0000  6 Cd 2.76
Cs  0.5000  0.5000  0.5000  12 Cd 3.90
Cd  0.0000  0.0000  0.5000  2 Hg 2.76
Cd  0.5000  0.0000  0.0000  2 Hg 2.76
Cd  0.0000  0.5000  0.0000  2 Hg 2.76

Properties
symmetry: No. 221
DFT formation energy: 0.08 eV per atom
energy above the lowest structure with this stoichiometry: 0.000 eV/atom

***

[3]
# CsCd3Hg

A relaxed CsCd3Hg crystal (PBEsol, Alexandria via LeMat-Bulk).

a = 6.8354 Å, b = 6.8354 Å, c = 6.8354 Å
α = 90.00°, β = 90.00°, γ = 90.00°
With the nearest neighbours (Å) after each atom.
Positions (direct):
Cd  0.0000  0.5000  0.0000  2 Cs 3.42
Cd  0.5000  0.0000  0.0000  2 Cs 3.42
Cd  0.0000  0.0000  0.5000  2 Cs 3.42
Hg  0.5000  0.5000  0.5000  12 Cd 4.83
Cs  0.0000  0.0000  0.0000  6 Cd 3.42

Properties
symmetry: No. 221
DFT formation energy: 0.73 eV per atom
energy above the lowest structure with this stoichiometry: 0.653 eV/atom

***

[4]
# CsCdHg3

A relaxed CsCdHg3 crystal (PBEsol, Alexandria via LeMat-Bulk).

a = 5.5783 Å, b = 5.5783 Å, c = 5.5783 Å
α = 90.00°, β = 90.00°, γ = 90.00°
With the nearest neighbours (Å) after each atom.
Positions (direct):
Cs  0.5000  0.5000  0.5000  12 Hg 3.94
Hg  0.5000  0.0000  0.0000  2 Cd 2.79
Hg  0.0000  0.5000  0.0000  2 Cd 2.79
Cd  0.0000  0.0000  0.0000  6 Hg 2.79
Hg  0.0000  0.0000  0.5000  2 Cd 2.79

Properties
symmetry: No. 221
DFT formation energy: -0.09 eV per atom

***

[5]
# CsCd2Hg2

A relaxed CsCd2Hg2 crystal (PBEsol, Alexandria via LeMat-Bulk).

a = 4.7957 Å, b = 4.7957 Å, c = 7.3156 Å
α = 109.13°, β = 109.13°, γ = 90.00°
With the nearest neighbours (Å) after each atom.
Positions (direct):
Hg  0.6179  0.6179  0.2357  4 Cd 2.95, 1 Hg 3.06
Cd  0.7500  0.2500  0.5000  4 Hg 2.95
Cd  0.2500  0.7500  0.5000  4 Hg 2.95
Cs  0.0000  0.0000  0.0000  8 Hg 3.72, 8 Cd 4.03
Hg  0.3821  0.3821  0.7643  4 Cd 2.95, 1 Hg 3.06

Properties
symmetry: No. 139
DFT formation energy: -0.12 eV per atom

***

[6]
# CsCd2SnHg

A relaxed CsCd2SnHg crystal (PBEsol, Alexandria via LeMat-Bulk).

a = 5.6667 Å, b = 5.6667 Å, c = 5.7821 Å
α = 90.00°, β = 90.00°, γ = 90.00°
With the nearest neighbours (Å) after each atom.
Positions (direct):
Cs  0.5000  0.5000  0.5000  4 Hg 4.01, 8 Cd 4.05
Cd  0.0000  0.5000  0.0000  2 Sn 2.83
Cd  0.5000  0.0000  0.0000  2 Sn 2.83
Hg  0.0000  0.0000  0.5000  2 Sn 2.89
Sn  0.0000  0.0000  0.0000  4 Cd 2.83, 2 Hg 2.89

Properties
symmetry: No. 123
DFT formation energy: 0.09 eV per atom

***

[7]
# CsHoCdTe3

A relaxed CsHoCdTe3 crystal (PBEsol, Alexandria via LeMat-Bulk).

a = 4.4329 Å, b = 8.6665 Å, c = 11.5860 Å
α = 90.00°, β = 90.00°, γ = 104.82°
With the nearest neighbours (Å) after each atom.
Positions (direct):
Cd  0.4612  0.9224  0.2500  4 Te 2.78-2.83
Ho  0.0000  0.0000  0.5000  6 Te 3.08-3.10
Cs  0.7511  0.5022  0.2500  8 Te 3.80-4.02, 2 Cd 4.16
Cs  0.2489  0.4978  0.7500  8 Te 3.80-4.02, 2 Cd 4.16
Te  0.3765  0.7530  0.4560  1 Cd 2.78, 2 Ho 3.08
Te  0.6235  0.2470  0.9560  1 Cd 2.78, 2 Ho 3.08
Ho  0.0000  0.0000  0.0000  6 Te 3.08-3.10
Te  0.3765  0.7530  0.0440  1 Cd 2.78, 2 Ho 3.08
Te  0.0666  0.1332  0.2500  2 Cd 2.83, 2 Ho 3.10
Te  0.6235  0.2470  0.5440  1 Cd 2.78, 2 Ho 3.08
Cd  0.5388  0.0776  0.7500  4 Te 2.78-2.83
Te  0.9334  0.8668  0.7500  2 Cd 2.83, 2 Ho 3.10

Properties
ΔE_f (raw): -1.058 eV/atom
symmetry: No. 63

***

[8]
# Cs2CdI4

A relaxed Cs2CdI4 crystal (PBEsol, Alexandria via LeMat-Bulk).

a = 8.3194 Å, b = 10.7746 Å, c = 14.9111 Å
α = 90.00°, β = 90.00°, γ = 90.00°
With the nearest neighbours (Å) after each atom.
Positions (direct):
I  0.0163  0.6678  0.6544  1 Cd 2.77
I  0.7500  0.5318  0.9074  1 Cd 2.75
I  0.9837  0.8322  0.1544  1 Cd 2.77
I  0.7500  0.6839  0.4009  1 Cd 2.79
I  0.5163  0.3322  0.3456  1 Cd 2.77
I  0.7500  0.0318  0.5926  1 Cd 2.75
Cs  0.2500  0.9767  0.6661  7 I 3.79-3.90
I  0.2500  0.4682  0.0926  1 Cd 2.75
I  0.4837  0.1678  0.8456  1 Cd 2.77
Cs  0.7500  0.3884  0.5712  8 I 3.86-4.25, 1 Cd 4.19
Cd  0.7500  0.7773  0.5755  4 I 2.75-2.79
I  0.4837  0.6678  0.6544  1 Cd 2.77
Cs  0.7500  0.5233  0.1661  7 I 3.79-3.90
Cs  0.7500  0.8884  0.9288  8 I 3.86-4.25, 1 Cd 4.19
Cs  0.2500  0.4767  0.8339  7 I 3.79-3.90
Cd  0.2500  0.2227  0.4245  4 I 2.75-2.79
Cd  0.2500  0.7227  0.0755  4 I 2.75-2.79
I  0.5163  0.8322  0.1544  1 Cd 2.77
Cd  0.7500  0.2773  0.9245  4 I 2.75-2.79
Cs  0.7500  0.0233  0.3339  7 I 3.79-3.90
I  0.2500  0.9682  0.4074  1 Cd 2.75
I  0.2500  0.3161  0.5991  1 Cd 2.79
I  0.0163  0.1678  0.8456  1 Cd 2.77
I  0.9837  0.3322  0.3456  1 Cd 2.77
I  0.2500  0.8161  0.9009  1 Cd 2.79
I  0.7500  0.1839  0.0991  1 Cd 2.79
Cs  0.2500  0.6116  0.4288  8 I 3.86-4.25, 1 Cd 4.19
Cs  0.2500  0.1116  0.0712  8 I 3.86-4.25, 1 Cd 4.19

Properties
ΔE_f (raw): -1.137 eV/atom
symmetry: No. 62
energy above the lowest structure with this stoichiometry: 0.007 eV/atom

***

[9]
# Cs3CdI5

A relaxed Cs3CdI5 crystal (PBEsol, Alexandria via LeMat-Bulk).

a = 9.8769 Å, b = 11.7440 Å, c = 14.6597 Å
α = 90.00°, β = 90.00°, γ = 90.00°
With the nearest neighbours (Å) after each atom.
Positions (direct):
Cs  0.4225  0.4844  0.6703  7 I 3.78-4.15, 1 Cd 4.17
Cs  0.0775  0.9844  0.1703  7 I 3.78-4.15, 1 Cd 4.17
I  0.9506  0.7500  0.9957  1 Cd 2.79
Cs  0.4225  0.0156  0.6703  7 I 3.78-4.15, 1 Cd 4.17
I  0.3123  0.5483  0.9386  1 Cd 2.76
I  0.6254  0.7500  0.7922  1 Cd 2.76
I  0.1254  0.7500  0.7078  1 Cd 2.76
I  0.1811  0.2500  0.7393  6 Cs 3.71-3.98, 1 I 4.10
Cd  0.1870  0.7500  0.8916  4 I 2.76-2.79
Cs  0.9287  0.2500  0.5517  8 I 3.69-3.92
Cs  0.5775  0.9844  0.3297  7 I 3.78-4.15, 1 Cd 4.17
I  0.5494  0.2500  0.4957  1 Cd 2.79
Cs  0.9225  0.0156  0.8297  7 I 3.78-4.15, 1 Cd 4.17
I  0.3123  0.9517  0.9386  1 Cd 2.76
Cd  0.6870  0.7500  0.6084  4 I 2.76-2.79
I  0.6877  0.0483  0.0614  1 Cd 2.76
I  0.1877  0.4517  0.4386  1 Cd 2.76
Cs  0.0713  0.7500  0.4483  8 I 3.69-3.92
I  0.8123  0.9517  0.5614  1 Cd 2.76
Cs  0.5775  0.5156  0.3297  7 I 3.78-4.15, 1 Cd 4.17
I  0.8189  0.7500  0.2607  6 Cs 3.71-3.98, 1 I 4.10
I  0.1877  0.0483  0.4386  1 Cd 2.76
Cd  0.8130  0.2500  0.1084  4 I 2.76-2.79
I  0.3746  0.2500  0.2078  1 Cd 2.76
I  0.8746  0.2500  0.2922  1 Cd 2.76
Cs  0.9225  0.4844  0.8297  7 I 3.78-4.15, 1 Cd 4.17
Cd  0.3130  0.2500  0.3916  4 I 2.76-2.79
I  0.4506  0.7500  0.5043  1 Cd 2.79
I  0.0494  0.2500  0.0043  1 Cd 2.79
I  0.3189  0.7500  0.2393  6 Cs 3.71-3.98, 1 I 4.10
Cs  0.0775  0.5156  0.1703  7 I 3.78-4.15, 1 Cd 4.17
I  0.8123  0.5483  0.5614  1 Cd 2.76
I  0.6811  0.2500  0.7607  6 Cs 3.71-3.98, 1 I 4.10
Cs  0.4287  0.2500  0.9483  8 I 3.69-3.92
Cs  0.5713  0.7500  0.0517  8 I 3.69-3.92
I  0.6877  0.4517  0.0614  1 Cd 2.76

Properties
ΔE_f (raw): -1.230 eV/atom
symmetry: No. 62

***

[10]
# Cs2CdI4

A relaxed Cs2CdI4 crystal (PBEsol, Alexandria via LeMat-Bulk).

a = 7.8354 Å, b = 8.2529 Å, c = 10.8571 Å
α = 90.00°, β = 110.03°, γ = 90.00°
With the nearest neighbours (Å) after each atom.
Positions (direct):
I  0.4228  0.7500  0.6379  1 Cd 2.76
I  0.5772  0.2500  0.3621  1 Cd 2.76
I  0.9585  0.4854  0.7162  1 Cd 2.78
Cs  0.2954  0.2500  0.5884  8 I 3.82-4.24
I  0.3607  0.7500  0.0526  1 Cd 2.80
I  0.0415  0.5146  0.2838  1 Cd 2.78
Cs  0.7046  0.7500  0.4116  8 I 3.82-4.24
I  0.6393  0.2500  0.9474  1 Cd 2.80
I  0.0415  0.9854  0.2838  1 Cd 2.78
I  0.9585  0.0146  0.7162  1 Cd 2.78
Cs  0.1972  0.2500  0.0368  7 I 3.76-4.14, 1 Cd 4.17
Cd  0.8087  0.2500  0.2198  4 I 2.76-2.80
Cs  0.8028  0.7500  0.9632  7 I 3.76-4.14, 1 Cd 4.17
Cd  0.1913  0.7500  0.7802  4 I 2.76-2.80

Properties
ΔE_f (raw): -1.144 eV/atom
symmetry: No. 11
energy above the lowest structure with this stoichiometry: 0.000 eV/atom

***

[11]
# CsCd2In2

A relaxed CsCd2In2 crystal (PBEsol, Alexandria via LeMat-Bulk).

a = 5.0490 Å, b = 5.0490 Å, c = 6.9514 Å
α = 111.09°, β = 111.09°, γ = 90.48°
With the nearest neighbours (Å) after each atom.
Positions (direct):
Cd  0.7501  0.2498  0.5000  4 In 2.94
In  0.3756  0.3756  0.7511  4 Cd 2.94, 1 In 2.97
In  0.6244  0.6244  0.2489  4 Cd 2.94, 1 In 2.97
Cs  0.0000  0.0000  0.0000  8 In 3.85-3.88, 8 Cd 3.91
Cd  0.2498  0.7501  0.5000  4 In 2.94

Properties
symmetry: No. 69
DFT formation energy: -0.05 eV per atom

***

Copy entry 4 word for word.
# CsCdHg3

A relaxed CsCdHg3 crystal (PBEsol, Alexandria via LeMat-Bulk).

a = 5.5783 Å, b = 5.5783 Å, c = 5.5783 Å
α = 90.00°, β = 90.00°, γ = 90.00°
With the nearest neighbours (Å) after each atom.
Positions (direct):
Cs  0.5000  0.5000  0.5000  12 Hg 3.94
Hg  0.5000  0.0000  0.0000  2 Cd 2.79
Hg  0.0000  0.5000  0.0000  2 Cd 2.79
Cd  0.0000  0.0000  0.0000  6 Hg 2.79
Hg  0.0000  0.0000  0.5000  2 Cd 2.79

Properties
symmetry: No. 221
DFT formation energy: -0.09 eV per atom